No. 1
VASP calculation (PBE) on Mg2NbZn after structural relaxation.

It has space group F-43m (No. 216), with a = 6.6197 Å, b = 6.6197 Å, c = 6.6197 Å, α = 90.00°, β = 90.00° and γ = 90.00°. The inequivalent atoms are Mg at (0.0000, 0.0000, 0.0000), Mg at (0.2500, 0.2500, 0.2500), Nb at (0.0000, 0.0000, 0.5000) and Zn at (0.2500, 0.2500, 0.7500).

***

No. 2
VASP calculation (PBE) on Pa6WN12 after structural relaxation.

It has space group R-3 (No. 148, hexagonal axes), with a = 9.8688 Å, b = 9.8688 Å, c = 9.4462 Å, α = 90.00°, β = 90.00° and γ = 120.00°. The inequivalent atoms are Pa at (0.0509, 0.7920, 0.1573), W at (0.0000, 0.0000, 0.5000), N at (0.0337, 0.8066, 0.9018) and N at (0.0403, 0.8421, 0.3927).

***

Calculated DFT total energy in order - -3.345; -10.461 eV/atom